(1)
Material: Tb4Y7Er
Method: DFT, PBE-GGA
State: relaxed

abc: 6.519 6.803 9.088
angles: 86.00 76.76 81.99
Positions (direct):
Tb 0.142 0.312 0.283
Tb 0.340 0.880 0.693
Tb 0.660 0.120 0.307
Tb 0.858 0.688 0.717
Y 0.012 0.252 0.950
Y 0.183 0.805 0.361
Y 0.310 0.392 0.614
Y 0.500 0.000 0.000
Y 0.690 0.608 0.386
Y 0.817 0.195 0.639
Y 0.988 0.748 0.050
Er 0.500 0.500 0.000

(2)
Material: Tb3Y2Er2
Method: DFT, PBE-GGA
State: relaxed

abc: 7.944 7.944 8.694
angles: 111.44 111.44 25.77
Positions (direct):
Tb 0.000 0.000 0.000
Tb 0.286 0.286 0.857
Tb 0.714 0.714 0.143
Y 0.429 0.429 0.287
Y 0.571 0.571 0.713
Er 0.144 0.144 0.428
Er 0.856 0.856 0.572

Number 1: DFT formation energy 8.6 kJ/mol of atoms. Number 2: DFT formation energy 2.0 kJ/mol of atoms.